1.
# Zr4Co2Rh PBE optimized geometry
data_Zr4Co2Rh
_chemical_formula_sum 'Zr8 Co4 Rh2'
_space_group_name_H-M_alt 'P 1'
_space_group_IT_number 1
_space_group_name_Hall 'P 1'
_cell_length_a 6.652
_cell_length_b 6.652
_cell_length_c 6.685
_cell_angle_alpha 106.76
_cell_angle_beta 106.76
_cell_angle_gamma 75.43
loop_
_atom_site_label
_atom_site_type_symbol
_atom_site_fract_x
_atom_site_fract_y
_atom_site_fract_z
Rh1 Rh 0.832 0.832 0.178
Rh2 Rh 0.857 0.857 0.737
Co1 Co 0.348 0.348 0.682
Co2 Co 0.330 0.330 0.207
Co3 Co 0.921 0.414 0.607
Co4 Co 0.414 0.921 0.607
Zr1 Zr 0.122 0.122 0.826
Zr2 Zr 0.621 0.621 0.351
Zr3 Zr 0.120 0.120 0.336
Zr4 Zr 0.610 0.164 0.974
Zr5 Zr 0.164 0.610 0.974
Zr6 Zr 0.614 0.614 0.816
Zr7 Zr 0.149 0.648 0.477
Zr8 Zr 0.648 0.149 0.477
# Final energy (eV per formula unit): -58.11
# Calculated formation energy (eV per formula unit): -2.3

***

2.
# Zr5Co2Rh PBE optimized geometry
data_Zr5Co2Rh
_chemical_formula_sum 'Zr10 Co4 Rh2'
_space_group_name_H-M_alt 'P 1'
_space_group_IT_number 1
_space_group_name_Hall 'P 1'
_cell_length_a 6.681
_cell_length_b 6.681
_cell_length_c 8.175
_cell_angle_alpha 114.12
_cell_angle_beta 114.12
_cell_angle_gamma 90.00
loop_
_atom_site_label
_atom_site_type_symbol
_atom_site_fract_x
_atom_site_fract_y
_atom_site_fract_z
Zr1 Zr 0.521 0.688 0.709
Zr2 Zr 0.812 0.979 0.291
Zr3 Zr 0.000 0.000 0.000
Zr4 Zr 0.500 0.500 0.000
Zr5 Zr 0.188 0.021 0.709
Zr6 Zr 0.688 0.188 0.709
Zr7 Zr 0.021 0.521 0.709
Zr8 Zr 0.312 0.812 0.291
Zr9 Zr 0.979 0.479 0.291
Zr10 Zr 0.479 0.312 0.291
Co1 Co 0.131 0.369 0.000
Co2 Co 0.631 0.131 0.000
Co3 Co 0.369 0.869 0.000
Co4 Co 0.869 0.631 0.000
Rh1 Rh 0.750 0.750 0.500
Rh2 Rh 0.250 0.250 0.500
# Final energy (eV per formula unit): -67.23
# Calculated formation energy (eV per formula unit): -2.9

***

3.
# Zr6CoRh PBE optimized geometry
data_Zr6CoRh
_chemical_formula_sum 'Zr6 Co1 Rh1'
_space_group_name_H-M_alt 'P 1'
_space_group_IT_number 1
_space_group_name_Hall 'P 1'
_cell_length_a 4.645
_cell_length_b 4.645
_cell_length_c 8.123
_cell_angle_alpha 73.39
_cell_angle_beta 73.39
_cell_angle_gamma 90.00
loop_
_atom_site_label
_atom_site_type_symbol
_atom_site_fract_x
_atom_site_fract_y
_atom_site_fract_z
Zr1 Zr 0.749 0.749 0.501
Zr2 Zr 0.608 0.108 0.784
Zr3 Zr 0.108 0.608 0.784
Zr4 Zr 0.392 0.892 0.216
Zr5 Zr 0.251 0.251 0.499
Zr6 Zr 0.892 0.392 0.216
Co1 Co 0.500 0.500 0.000
Rh1 Rh 0.000 0.000 0.000
# Final energy (eV per formula unit): -67.90
# Calculated formation energy (eV per formula unit): -2.2
# Energy above the lowest structure with this stoichiometry (meV/atom): 0.0

***

4.
# Zr6CoRh PBE optimized geometry
data_Zr6CoRh
_chemical_formula_sum 'Zr6 Co1 Rh1'
_space_group_name_H-M_alt 'P 1'
_space_group_IT_number 1
_space_group_name_Hall 'P 1'
_cell_length_a 5.970
_cell_length_b 6.017
_cell_length_c 6.175
_cell_angle_alpha 60.84
_cell_angle_beta 76.55
_cell_angle_gamma 61.48
loop_
_atom_site_label
_atom_site_type_symbol
_atom_site_fract_x
_atom_site_fract_y
_atom_site_fract_z
Zr1 Zr 0.745 0.463 0.598
Zr2 Zr 0.745 0.062 0.402
Zr3 Zr 0.255 0.938 0.598
Zr4 Zr 0.255 0.537 0.402
Zr5 Zr 0.738 0.741 0.000
Zr6 Zr 0.262 0.259 0.000
Co1 Co 0.500 0.500 0.000
Rh1 Rh 0.000 0.000 0.000
# Final energy (eV per formula unit): -65.50
# Calculated formation energy (eV per formula unit): 0.2
# Energy above the lowest structure with this stoichiometry (meV/atom): 299.7

***

5.
# ZrCo3Rh PBE optimized geometry
data_ZrCo3Rh
_chemical_formula_sum 'Zr1 Co3 Rh1'
_space_group_name_H-M_alt 'P 1'
_space_group_IT_number 1
_space_group_name_Hall 'P 1'
_cell_length_a 4.447
_cell_length_b 4.447
_cell_length_c 4.447
_cell_angle_alpha 90.00
_cell_angle_beta 90.00
_cell_angle_gamma 90.00
loop_
_atom_site_label
_atom_site_type_symbol
_atom_site_fract_x
_atom_site_fract_y
_atom_site_fract_z
Co1 Co 0.000 0.500 0.000
Co2 Co 0.000 0.000 0.500
Co3 Co 0.500 0.000 0.000
Rh1 Rh 0.500 0.500 0.500
Zr1 Zr 0.000 0.000 0.000
# Final energy (eV per formula unit): -29.55
# Calculated formation energy (eV per formula unit): 7.7
# Energy above the lowest structure with this stoichiometry (meV/atom): 606.3

***

6.
# ZrCo2Rh2 PBE optimized geometry
data_ZrCo2Rh2
_chemical_formula_sum 'Zr2 Co4 Rh4'
_space_group_name_H-M_alt 'P 1'
_space_group_IT_number 1
_space_group_name_Hall 'P 1'
_cell_length_a 7.200
_cell_length_b 7.200
_cell_length_c 2.815
_cell_angle_alpha 90.00
_cell_angle_beta 90.00
_cell_angle_gamma 90.00
loop_
_atom_site_label
_atom_site_type_symbol
_atom_site_fract_x
_atom_site_fract_y
_atom_site_fract_z
Co1 Co 0.168 0.668 0.500
Co2 Co 0.668 0.832 0.500
Co3 Co 0.832 0.332 0.500
Co4 Co 0.332 0.168 0.500
Rh1 Rh 0.370 0.870 0.000
Rh2 Rh 0.870 0.630 0.000
Rh3 Rh 0.630 0.130 0.000
Rh4 Rh 0.130 0.370 0.000
Zr1 Zr 0.000 0.000 0.000
Zr2 Zr 0.500 0.500 0.000
# Final energy (eV per formula unit): -38.04
# Calculated formation energy (eV per formula unit): -0.6
# Energy above the lowest structure with this stoichiometry (meV/atom): 17.7

***

7.
# ZrCo2Rh2 PBE optimized geometry
data_ZrCo2Rh2
_chemical_formula_sum 'Zr2 Co4 Rh4'
_space_group_name_H-M_alt 'P 1'
_space_group_IT_number 1
_space_group_name_Hall 'P 1'
_cell_length_a 6.513
_cell_length_b 6.513
_cell_length_c 3.399
_cell_angle_alpha 90.00
_cell_angle_beta 90.00
_cell_angle_gamma 90.00
loop_
_atom_site_label
_atom_site_type_symbol
_atom_site_fract_x
_atom_site_fract_y
_atom_site_fract_z
Co1 Co 0.373 0.873 0.000
Co2 Co 0.873 0.627 0.000
Co3 Co 0.627 0.127 0.000
Co4 Co 0.127 0.373 0.000
Rh1 Rh 0.166 0.666 0.500
Rh2 Rh 0.666 0.834 0.500
Rh3 Rh 0.834 0.334 0.500
Rh4 Rh 0.334 0.166 0.500
Zr1 Zr 0.000 0.000 0.000
Zr2 Zr 0.500 0.500 0.000
# Final energy (eV per formula unit): -38.12
# Calculated formation energy (eV per formula unit): -0.7
# Energy above the lowest structure with this stoichiometry (meV/atom): 1.0

***

8.
# Zr4Co3Rh PBE optimized geometry
data_Zr4Co3Rh
_chemical_formula_sum 'Zr4 Co3 Rh1'
_space_group_name_H-M_alt 'P 1'
_space_group_IT_number 1
_space_group_name_Hall 'P 1'
_cell_length_a 4.565
_cell_length_b 4.565
_cell_length_c 7.872
_cell_angle_alpha 73.15
_cell_angle_beta 73.15
_cell_angle_gamma 60.00
loop_
_atom_site_label
_atom_site_type_symbol
_atom_site_fract_x
_atom_site_fract_y
_atom_site_fract_z
Rh1 Rh 0.000 0.000 0.000
Co1 Co 0.250 0.250 0.251
Co2 Co 0.750 0.750 0.749
Co3 Co 0.500 0.500 0.500
Zr1 Zr 0.873 0.873 0.382
Zr2 Zr 0.377 0.377 0.868
Zr3 Zr 0.127 0.127 0.618
Zr4 Zr 0.623 0.623 0.132
# Final energy (eV per formula unit): -65.99
# Calculated formation energy (eV per formula unit): -3.1

***

9.
# Co3Ru PBE optimized geometry
data_Co3Ru
_chemical_formula_sum 'Co3 Ru1'
_space_group_name_H-M_alt 'P 1'
_space_group_IT_number 1
_space_group_name_Hall 'P 1'
_cell_length_a 4.795
_cell_length_b 4.795
_cell_length_c 4.795
_cell_angle_alpha 116.99
_cell_angle_beta 116.99
_cell_angle_gamma 116.99
loop_
_atom_site_label
_atom_site_type_symbol
_atom_site_fract_x
_atom_site_fract_y
_atom_site_fract_z
Co1 Co 0.000 0.000 0.000
Co2 Co 0.000 0.500 0.500
Co3 Co 0.500 0.500 0.000
Ru1 Ru 0.500 0.000 0.500
# Final energy (eV per formula unit): -29.47
# Calculated formation energy (eV per formula unit): 1.1

***

10.
# Co3Ru PBE optimized geometry
data_Co3Ru
_chemical_formula_sum 'Co3 Ru1'
_space_group_name_H-M_alt 'P 1'
_space_group_IT_number 1
_space_group_name_Hall 'P 1'
_cell_length_a 2.582
_cell_length_b 2.582
_cell_length_c 7.000
_cell_angle_alpha 90.00
_cell_angle_beta 90.00
_cell_angle_gamma 90.00
loop_
_atom_site_label
_atom_site_type_symbol
_atom_site_fract_x
_atom_site_fract_y
_atom_site_fract_z
Co1 Co 0.000 0.000 0.988
Co2 Co 0.000 0.000 0.512
Co3 Co 0.500 0.500 0.750
Ru1 Ru 0.500 0.500 0.250
# Final energy (eV per formula unit): -30.05
# Calculated formation energy (eV per formula unit): 0.5

***

11.
# Co3Ru5 PBE optimized geometry
data_Co3Ru5
_chemical_formula_sum 'Co6 Ru10'
_space_group_name_H-M_alt 'P 1'
_space_group_IT_number 1
_space_group_name_Hall 'P 1'
_cell_length_a 4.627
_cell_length_b 6.953
_cell_length_c 7.142
_cell_angle_alpha 95.91
_cell_angle_beta 108.01
_cell_angle_gamma 70.56
loop_
_atom_site_label
_atom_site_type_symbol
_atom_site_fract_x
_atom_site_fract_y
_atom_site_fract_z
Ru1 Ru 0.035 0.700 0.851
Ru2 Ru 0.231 0.855 0.306
Ru3 Ru 0.232 0.500 0.451
Ru4 Ru 0.235 0.300 0.851
Ru5 Ru 0.415 0.855 0.695
Ru6 Ru 0.586 0.145 0.306
Ru7 Ru 0.766 0.700 0.150
Ru8 Ru 0.769 0.500 0.550
Ru9 Ru 0.770 0.145 0.695
Ru10 Ru 0.966 0.300 0.150
Co1 Co 0.165 0.171 0.500
Co2 Co 0.257 0.987 0.000
Co3 Co 0.399 0.500 0.154
Co4 Co 0.602 0.500 0.846
Co5 Co 0.744 0.013 0.000
Co6 Co 0.836 0.829 0.500
# Final energy (eV per formula unit): -65.71
# Calculated formation energy (eV per formula unit): 2.0
# Energy above the lowest structure with this stoichiometry (meV/atom): 0.0

***

12.
# Co3Ru PBE optimized geometry
data_Co3Ru
_chemical_formula_sum 'Co3 Ru1'
_space_group_name_H-M_alt 'P 1'
_space_group_IT_number 1
_space_group_name_Hall 'P 1'
_cell_length_a 8.364
_cell_length_b 8.364
_cell_length_c 8.364
_cell_angle_alpha 17.74
_cell_angle_beta 17.74
_cell_angle_gamma 17.74
loop_
_atom_site_label
_atom_site_type_symbol
_atom_site_fract_x
_atom_site_fract_y
_atom_site_fract_z
Co1 Co 0.997 0.997 0.997
Co2 Co 0.250 0.250 0.250
Co3 Co 0.503 0.503 0.503
Ru1 Ru 0.750 0.750 0.750
# Final energy (eV per formula unit): -29.98
# Calculated formation energy (eV per formula unit): 0.6

***

- Among the records above, which one has the lowest calculated formation energy?
  Zr4Co3Rh

***

- What is the formula in the fourth record?
  Zr6CoRh

***

- What is the calculated formation energy in the seventh record?
  -0.7 eV per formula unit